# Ti2NbNiN

Ti2NbNiN after structural relaxation (PBE, Alexandria).

- SG: P4/mmm
- Formation energy from raw total energies: -0.703 eV per atom

Lattice parameters (Å, degrees): 4.033 4.033 4.253 90.00 90.00 90.00
Element x y z (fractional)
Ti 0.000 0.500 0.000
Ti 0.500 0.000 0.000
Nb 0.000 0.000 0.500
Ni 0.500 0.500 0.500
N 0.000 0.000 0.000